[1]
# CsPm4Pt3O12 | Alexandria via LeMat-Bulk | GGA-PBE | optimized geometry
data_CsPm4Pt3O12
_chemical_formula_sum 'Cs1 Pm4 Pt3 O12'
_cell_length_a 7.395
_cell_length_b 7.395
_cell_length_c 7.395
_cell_angle_alpha 109.47
_cell_angle_beta 109.47
_cell_angle_gamma 109.47
_space_group_name_H-M_alt 'P 1'
_space_group_IT_number 1
_space_group_name_Hall 'P 1'
loop_
_atom_site_label
_atom_site_type_symbol
_atom_site_fract_x
_atom_site_fract_y
_atom_site_fract_z
Cs1 Cs 0.000 0.000 0.000
Pm1 Pm 0.000 0.000 0.500
Pm2 Pm 0.000 0.500 0.000
Pm3 Pm 0.500 0.000 0.000
Pm4 Pm 0.500 0.500 0.500
Pt1 Pt 0.000 0.500 0.500
Pt2 Pt 0.500 0.000 0.500
Pt3 Pt 0.500 0.500 0.000
O1 O 0.158 0.489 0.331
O2 O 0.158 0.827 0.669
O3 O 0.173 0.331 0.842
O4 O 0.331 0.158 0.489
O5 O 0.331 0.842 0.173
O6 O 0.489 0.331 0.158
O7 O 0.511 0.669 0.842
O8 O 0.669 0.158 0.827
O9 O 0.669 0.842 0.511
O10 O 0.827 0.669 0.158
O11 O 0.842 0.173 0.331
O12 O 0.842 0.511 0.669
# formation energy from raw total energies = -1.910 eV per atom
# M_tot = 4.7 μB/f.u.
# DFT total energy = -6.78 eV per atom
# symmetry = Im-3, No. 204



[2]
# Cs3Pm2PtO6 | Alexandria via LeMat-Bulk | GGA-PBE | optimized geometry
data_Cs3Pm2PtO6
_chemical_formula_sum 'Cs3 Pm2 Pt1 O6'
_cell_length_a 6.226
_cell_length_b 6.226
_cell_length_c 7.609
_cell_angle_alpha 104.57
_cell_angle_beta 104.57
_cell_angle_gamma 111.69
_space_group_name_H-M_alt 'P 1'
_space_group_IT_number 1
_space_group_name_Hall 'P 1'
loop_
_atom_site_label
_atom_site_type_symbol
_atom_site_fract_x
_atom_site_fract_y
_atom_site_fract_z
Cs1 Cs 0.000 0.000 0.000
Cs2 Cs 0.335 0.665 0.000
Cs3 Cs 0.665 0.335 0.000
Pm1 Pm 0.163 0.837 0.500
Pm2 Pm 0.837 0.163 0.500
Pt1 Pt 0.500 0.500 0.500
O1 O 0.135 0.427 0.373
O2 O 0.162 0.162 0.721
O3 O 0.427 0.135 0.373
O4 O 0.573 0.865 0.627
O5 O 0.838 0.838 0.279
O6 O 0.865 0.573 0.627
# formation energy from raw total energies = -1.859 eV per atom
# M_tot = 1.1 μB/f.u.
# DFT total energy = -5.85 eV per atom
# symmetry = C2/m, No. 12



[3]
# CsPmPtO3 | Alexandria via LeMat-Bulk | GGA-PBE | optimized geometry
data_CsPmPtO3
_chemical_formula_sum 'Cs2 Pm2 Pt2 O6'
_cell_length_a 7.016
_cell_length_b 7.016
_cell_length_c 8.390
_cell_angle_alpha 103.57
_cell_angle_beta 103.57
_cell_angle_gamma 33.00
_space_group_name_H-M_alt 'P 1'
_space_group_IT_number 1
_space_group_name_Hall 'P 1'
loop_
_atom_site_label
_atom_site_type_symbol
_atom_site_fract_x
_atom_site_fract_y
_atom_site_fract_z
Cs1 Cs 0.141 0.141 0.065
Cs2 Cs 0.859 0.859 0.935
Pm1 Pm 0.150 0.150 0.571
Pm2 Pm 0.850 0.850 0.429
Pt1 Pt 0.489 0.489 0.701
Pt2 Pt 0.511 0.511 0.299
O1 O 0.008 0.008 0.336
O2 O 0.328 0.328 0.619
O3 O 0.353 0.353 0.254
O4 O 0.647 0.647 0.746
O5 O 0.672 0.672 0.381
O6 O 0.992 0.992 0.664
# formation energy from raw total energies = -1.884 eV per atom
# M_tot = 0.0 μB/f.u.
# DFT total energy = -6.30 eV per atom
# symmetry = C2/m, No. 12